No. 1
# MnZnSi2O6

A geometry-optimized MnZnSi2O6 structure (PBEsol, the Alexandria database).

Lattice parameters (Å, degrees): 5.2937 9.0263 18.4428 90.00 90.00 90.00
Closest atoms and distances in Å follow each position.
Fractional positions:
Mn 0.6156 0.0095 0.8766  4 O 2.02-2.13
Mn 0.3844 0.9905 0.1234  4 O 2.02-2.13
Mn 0.1156 0.9905 0.6234  4 O 2.02-2.13
Mn 0.8844 0.0095 0.3766  4 O 2.02-2.13
Mn 0.6156 0.5095 0.6234  4 O 2.02-2.13
Mn 0.3844 0.4905 0.3766  4 O 2.02-2.13
Mn 0.1156 0.4905 0.8766  4 O 2.02-2.13
Mn 0.8844 0.5095 0.1234  4 O 2.02-2.13
Zn 0.3885 0.8505 0.3749  6 O 2.05-2.26
Zn 0.6115 0.1495 0.6251  6 O 2.05-2.26
Zn 0.3885 0.3505 0.1251  6 O 2.05-2.26
Zn 0.8885 0.1495 0.1251  6 O 2.05-2.26
Zn 0.1115 0.8505 0.8749  6 O 2.05-2.26
Zn 0.6115 0.6495 0.8749  6 O 2.05-2.26
Zn 0.8885 0.6495 0.3749  6 O 2.05-2.26
Zn 0.1115 0.3505 0.6251  6 O 2.05-2.26
Si 0.4366 0.3389 0.7718  4 O 1.62-1.66
Si 0.2918 0.1643 0.4744  4 O 1.62-1.67
Si 0.2082 0.1643 0.9744  4 O 1.62-1.67
Si 0.0634 0.8389 0.2282  4 O 1.62-1.66
Si 0.9366 0.6611 0.7282  4 O 1.62-1.66
Si 0.5634 0.1611 0.2718  4 O 1.62-1.66
Si 0.7918 0.3357 0.4744  4 O 1.62-1.67
Si 0.2918 0.6643 0.0256  4 O 1.62-1.67
Si 0.2082 0.6643 0.5256  4 O 1.62-1.67
Si 0.0634 0.3389 0.2718  4 O 1.62-1.66
Si 0.5634 0.6611 0.2282  4 O 1.62-1.66
Si 0.4366 0.8389 0.7282  4 O 1.62-1.66
Si 0.7082 0.8357 0.5256  4 O 1.62-1.67
Si 0.9366 0.1611 0.7718  4 O 1.62-1.66
Si 0.7082 0.3357 0.9744  4 O 1.62-1.67
Si 0.7918 0.8357 0.0256  4 O 1.62-1.67
O 0.0752 0.5009 0.3088  1 Si 1.62
O 0.7070 0.9875 0.0653  1 Si 1.62
O 0.9248 0.4991 0.6912  1 Si 1.62
O 0.2897 0.6617 0.9369  1 Si 1.64
O 0.7897 0.8383 0.9369  1 Si 1.64
O 0.0819 0.7912 0.0522  2 Si 1.66-1.67
O 0.0600 0.3355 0.1832  1 Si 1.63
O 0.9400 0.1645 0.6832  1 Si 1.63
O 0.2897 0.1617 0.5631  1 Si 1.64
O 0.0600 0.8355 0.3168  1 Si 1.63
O 0.5752 0.4991 0.1912  1 Si 1.62
O 0.2103 0.6617 0.4369  1 Si 1.64
O 0.2930 0.0125 0.9347  1 Si 1.62
O 0.5600 0.1645 0.1832  1 Si 1.63
O 0.4248 0.0009 0.6912  1 Si 1.62
O 0.7070 0.4875 0.4347  1 Si 1.62
O 0.5752 0.9991 0.3088  1 Si 1.62
O 0.8261 0.2394 0.3027  2 Si 1.65-1.66
O 0.6739 0.2394 0.8027  2 Si 1.65-1.66
O 0.4181 0.2912 0.9478  2 Si 1.66-1.67
O 0.2103 0.1617 0.0631  1 Si 1.64
O 0.4400 0.3355 0.6832  1 Si 1.63
O 0.2070 0.5125 0.0653  1 Si 1.62
O 0.8261 0.7394 0.1973  2 Si 1.65-1.66
O 0.7103 0.8383 0.4369  1 Si 1.64
O 0.4400 0.8355 0.8168  1 Si 1.63
O 0.2930 0.5125 0.5653  1 Si 1.62
O 0.7897 0.3383 0.5631  1 Si 1.64
O 0.7930 0.4875 0.9347  1 Si 1.62
O 0.3261 0.2606 0.3027  2 Si 1.65-1.66
O 0.9248 0.9991 0.8088  1 Si 1.62
O 0.1739 0.2606 0.8027  2 Si 1.65-1.66
O 0.1739 0.7606 0.6973  2 Si 1.65-1.66
O 0.2070 0.0125 0.4347  1 Si 1.62
O 0.7103 0.3383 0.0631  1 Si 1.64
O 0.7930 0.9875 0.5653  1 Si 1.62
O 0.6739 0.7394 0.6973  2 Si 1.65-1.66
O 0.9181 0.2088 0.9478  2 Si 1.66-1.67
O 0.5819 0.2088 0.4478  2 Si 1.66-1.67
O 0.3261 0.7606 0.1973  2 Si 1.65-1.66
O 0.5819 0.7088 0.0522  2 Si 1.66-1.67
O 0.4181 0.7912 0.5522  2 Si 1.66-1.67
O 0.9181 0.7088 0.5522  2 Si 1.66-1.67
O 0.5600 0.6645 0.3168  1 Si 1.63
O 0.4248 0.5009 0.8088  1 Si 1.62
O 0.0819 0.2912 0.4478  2 Si 1.66-1.67
O 0.9400 0.6645 0.8168  1 Si 1.63
O 0.0752 0.0009 0.1912  1 Si 1.62

The formation energy without anion corrections is -22.01 eV/f.u. Its total energy is -7.635 eV per atom. Its space-group type is No. 61. The value obtained for the distance to the lowest polymorph of the same formula is 6 meV/atom.


No. 2
# BeRe2As

A geometry-optimized BeRe2As structure (PBEsol, the Alexandria database).

Lattice parameters (Å, degrees): 2.8511 2.8511 7.7763 79.44 79.44 60.00
Closest atoms and distances in Å follow each position.
Fractional positions:
Re 0.2530 0.2530 0.2411  3 Be 2.46, 3 As 2.57
Re 0.7470 0.7470 0.7589  3 Be 2.46, 3 As 2.57
As 0.5000 0.5000 0.5000  6 Re 2.57, 6 As 2.85
Be 0.0000 0.0000 0.0000  6 Re 2.46

The formation energy comes out at 0.392 eV/atom. Its total energy is -8.551 eV per atom. Its space-group type is No. 166. The value obtained for the density of states at the Fermi level is 3.524 states/eV/f.u. The value obtained for the distance to the lowest polymorph of the same formula is 461 meV/atom.


No. 3
# BaSr2Br

A geometry-optimized BaSr2Br structure (PBEsol, the Alexandria database).

Lattice parameters (Å, degrees): 5.0683 5.0683 7.3698 90.00 90.00 90.00
Closest atoms and distances in Å follow each position.
Fractional positions:
Sr 0.0000 0.5000 0.0000  4 Sr 3.58
Sr 0.5000 0.0000 0.0000  4 Sr 3.58
Ba 0.5000 0.5000 0.5000  4 Br 3.58
Br 0.0000 0.0000 0.5000  4 Ba 3.58

The formation energy without anion corrections is -1.65 eV/f.u. Its total energy is -2.337 eV per atom. Its space-group type is No. 123. The value obtained for the density of states at the Fermi level is 3.863 states/eV/f.u. The value obtained for the distance to the lowest polymorph of the same formula is 0 meV/atom.


No. 4
# Nd2Hf2O7

A geometry-optimized Nd2Hf2O7 structure (PBEsol, the Alexandria database).

Lattice parameters (Å, degrees): 7.4864 7.4864 7.4864 60.00 60.00 60.00
Closest atoms and distances in Å follow each position.
Fractional positions:
Nd 0.6250 0.6250 0.6250  2 O 2.29
Nd 0.6250 0.6250 0.1250  2 O 2.29
Nd 0.6250 0.1250 0.6250  2 O 2.29
Nd 0.1250 0.6250 0.6250  2 O 2.29
Hf 0.1250 0.1250 0.1250  6 O 2.07
Hf 0.1250 0.1250 0.6250  6 O 2.07
Hf 0.1250 0.6250 0.1250  6 O 2.07
Hf 0.6250 0.1250 0.1250  6 O 2.07
O 0.7916 0.7916 0.2084  2 Hf 2.07
O 0.2084 0.2084 0.7916  2 Hf 2.07
O 0.7916 0.2084 0.7916  2 Hf 2.07
O 0.2084 0.7916 0.2084  2 Hf 2.07
O 0.7916 0.2084 0.2084  2 Hf 2.07
O 0.2084 0.7916 0.7916  2 Hf 2.07
O 0.4584 0.4584 0.0416  2 Hf 2.07
O 0.0416 0.0416 0.4584  2 Hf 2.07
O 0.4584 0.0416 0.4584  2 Hf 2.07
O 0.0416 0.4584 0.0416  2 Hf 2.07
O 0.4584 0.0416 0.0416  2 Hf 2.07
O 0.0416 0.4584 0.4584  2 Hf 2.07
O 0.7500 0.7500 0.7500  4 Nd 2.29
O 0.5000 0.5000 0.5000  4 Nd 2.29

The formation energy without anion corrections is -39.31 eV/f.u. Its total energy is -9.763 eV per atom. Its space-group type is No. 227. The value obtained for the density of states at the Fermi level is 0.000 states/eV/f.u.


No. 5
# V5S8

A geometry-optimized V5S8 structure (PBEsol, the Alexandria database).

Lattice parameters (Å, degrees): 6.4363 6.4363 6.4477 103.39 106.21 119.23
Closest atoms and distances in Å follow each position.
Fractional positions:
V 0.0000 0.0000 0.0000  6 S 2.35-2.37
V 0.7951 0.2951 0.5000  6 S 2.27-2.44
V 0.2049 0.7049 0.5000  6 S 2.27-2.44
V 0.7660 0.7236 0.4895  6 S 2.27-2.42
V 0.2340 0.2764 0.5105  6 S 2.27-2.42
S 0.3063 0.9823 0.2886  4 V 2.37-2.44
S 0.6937 0.0177 0.7114  4 V 2.37-2.44
S 0.7709 0.4392 0.2102  3 V 2.27
S 0.2291 0.5608 0.7898  3 V 2.27
S 0.7828 0.9582 0.2434  4 V 2.31-2.42
S 0.7148 0.5394 0.7566  4 V 2.31-2.42
S 0.2852 0.4606 0.2434  4 V 2.31-2.42
S 0.2172 0.0418 0.7566  4 V 2.31-2.42

The formation energy without anion corrections is -13.49 eV/f.u. Its total energy is -7.441 eV per atom. Its space-group type is No. 12. The value obtained for the density of states at the Fermi level is 8.164 states/eV/f.u.


No. 6
# BeZnOs2

A geometry-optimized BeZnOs2 structure (PBEsol, the Alexandria database).

Lattice parameters (Å, degrees): 2.6961 3.8952 4.9550 90.00 105.79 90.00
Closest atoms and distances in Å follow each position.
Fractional positions:
Be 0.3184 0.5000 0.7562  2 Zn 2.26, 1 Os 2.31
Zn 0.1936 0.0000 0.5149  2 Be 2.26, 1 Os 2.52
Os 0.9306 0.0000 0.9873  3 Zn 2.52-2.63, 4 Be 2.61-2.62, 6 Os 2.66-2.70
Os 0.5575 0.5000 0.2415  1 Be 2.31

The formation energy comes out at 0.163 eV/atom. Its total energy is -7.340 eV per atom. Its space-group type is No. 6. The value obtained for the density of states at the Fermi level is 2.121 states/eV/f.u.


No. 7
# LaSc2Te

A geometry-optimized LaSc2Te structure (PBEsol, the Alexandria database).

Lattice parameters (Å, degrees): 3.6995 3.6995 7.1771 90.00 90.00 90.00
Closest atoms and distances in Å follow each position.
Fractional positions:
La 0.5000 0.5000 0.5000  8 Sc 3.32, 2 Te 3.59, 4 La 3.70
Sc 0.0000 0.0000 0.7838  4 Te 3.04, 1 Sc 3.10, 4 La 3.32
Sc 0.0000 0.0000 0.2162  4 Te 3.04, 1 Sc 3.10, 4 La 3.32
Te 0.5000 0.5000 0.0000  8 Sc 3.04

The formation energy without anion corrections is -2.21 eV/f.u. Its total energy is -6.072 eV per atom. Its space-group type is No. 123. The value obtained for the density of states at the Fermi level is 3.639 states/eV/f.u.


No. 8
# AgOsIN2

A geometry-optimized AgOsIN2 structure (PBEsol, the Alexandria database).

Lattice parameters (Å, degrees): 3.8340 3.8340 5.9099 90.00 90.00 90.00
Closest atoms and distances in Å follow each position.
Fractional positions:
I 0.0000 0.0000 0.5000  4 Ag 2.71, 2 Os 2.95
Os 0.0000 0.0000 0.0000  4 N 1.92
Ag 0.5000 0.5000 0.5000  4 I 2.71
N 0.0000 0.5000 0.0000  2 Os 1.92
N 0.5000 0.0000 0.0000  2 Os 1.92

The formation energy without anion corrections is 3.51 eV/f.u. Its total energy is -6.168 eV per atom. Its space-group type is No. 123. The value obtained for the density of states at the Fermi level is 2.875 states/eV/f.u.


No. 9
# YNiSb2

A geometry-optimized YNiSb2 structure (PBEsol, the Alexandria database).

Lattice parameters (Å, degrees): 4.1075 4.1075 6.5447 71.71 71.71 60.00
Closest atoms and distances in Å follow each position.
Fractional positions:
Ni 0.0000 0.0000 0.0000  6 Sb 2.64
Sb 0.2701 0.2701 0.1898  3 Ni 2.64
Sb 0.7299 0.7299 0.8102  3 Ni 2.64
Y 0.5000 0.5000 0.5000  6 Sb 3.03

The formation energy without anion corrections is -1.71 eV/f.u. Its total energy is -5.951 eV per atom. Its space-group type is No. 166. The value obtained for the density of states at the Fermi level is 3.107 states/eV/f.u.


No. 10
# Ca3TcW

A geometry-optimized Ca3TcW structure (PBEsol, the Alexandria database).

Lattice parameters (Å, degrees): 5.3393 5.3393 5.3393 90.00 90.00 90.00
Closest atoms and distances in Å follow each position.
Fractional positions:
Ca 0.0000 0.5000 0.0000  2 W 2.67
Ca 0.0000 0.0000 0.5000  2 W 2.67
Ca 0.5000 0.0000 0.0000  2 W 2.67
Tc 0.5000 0.5000 0.5000  12 Ca 3.78
W 0.0000 0.0000 0.0000  6 Ca 2.67

The formation energy comes out at 1.921 eV/atom. Its total energy is -4.374 eV per atom. Its space-group type is No. 221. The value obtained for the density of states at the Fermi level is 6.212 states/eV/f.u.


No. 11
# TaPt4

A geometry-optimized TaPt4 structure (PBEsol, the Alexandria database).

Lattice parameters (Å, degrees): 3.9101 4.8362 4.8362 80.59 66.16 66.16
Closest atoms and distances in Å follow each position.
Fractional positions:
Pt 0.3982 0.8050 0.3987  9 Pt 2.76-2.84, 3 Ta 2.77-2.80
Pt 0.6018 0.1950 0.6013  9 Pt 2.76-2.84, 3 Ta 2.77-2.80
Pt 0.7969 0.6013 0.8050  9 Pt 2.76-2.84, 3 Ta 2.77-2.80
Pt 0.2031 0.3987 0.1950  9 Pt 2.76-2.84, 3 Ta 2.77-2.80
Ta 0.0000 0.0000 0.0000  12 Pt 2.77-2.80

The formation energy comes out at -0.569 eV/atom. Its total energy is -8.650 eV per atom. Its space-group type is No. 87. The value obtained for the density of states at the Fermi level is 5.501 states/eV/f.u. The value obtained for the distance to the lowest polymorph of the same formula is 0 meV/atom.


No. 12
# Be2Ru

A geometry-optimized Be2Ru structure (PBEsol, the Alexandria database).

Lattice parameters (Å, degrees): 3.9222 4.0487 4.2432 118.49 90.00 90.00
Closest atoms and distances in Å follow each position.
Fractional positions:
Ru 0.2500 0.8013 0.0000  10 Be 2.30-2.50, 2 Ru 2.54
Ru 0.7500 0.1987 0.0000  10 Be 2.30-2.50, 2 Ru 2.54
Be 0.2500 0.5019 0.3452  5 Ru 2.30-2.50, 7 Be 2.33-2.57
Be 0.7500 0.4981 0.6548  5 Ru 2.30-2.50, 7 Be 2.33-2.57
Be 0.2500 0.1567 0.6548  5 Ru 2.30-2.50, 7 Be 2.33-2.57
Be 0.7500 0.8433 0.3452  5 Ru 2.30-2.50, 7 Be 2.33-2.57

The formation energy comes out at -0.203 eV/atom. Its total energy is -6.261 eV per atom. Its space-group type is No. 63. The value obtained for the density of states at the Fermi level is 1.632 states/eV/f.u. The value obtained for the distance to the lowest polymorph of the same formula is 124 meV/atom.